[1]
# Y2GaNi2

A PBEsol-optimized structure of Y2GaNi2 (meta-GGA SCAN, the Alexandria database).

Lattice parameters (Å, degrees): 4.1503 5.2665 8.1378 90.00 90.00 90.00
Fractional coordinates of all 10 atoms:
1 Y 0.0000 0.0000 0.2019
2 Y 0.0000 0.0000 0.7981
3 Y 0.5000 0.5000 0.2981
4 Y 0.5000 0.5000 0.7019
5 Ga 0.0000 0.5000 0.0000
6 Ga 0.5000 0.0000 0.5000
7 Ni 0.0000 0.2669 0.5000
8 Ni 0.0000 0.7331 0.5000
9 Ni 0.5000 0.2331 0.0000
10 Ni 0.5000 0.7669 0.0000

Output
- formation energy from the elements (eV per formula unit) = -3.12
- total magnetic moment (μB per cell) = 0.0

=====

[2]
# Sb2Te

A PBEsol-optimized structure of Sb2Te (meta-GGA SCAN, the Alexandria database).

Lattice parameters (Å, degrees): 10.8665 4.0349 8.1641 90.00 98.47 90.00
Fractional coordinates of all 12 atoms:
1 Sb 0.0000 0.0000 0.0000
2 Sb 0.0442 0.0000 0.3691
3 Sb 0.2033 0.5000 0.0370
4 Sb 0.3901 0.0000 0.7179
5 Sb 0.5000 0.5000 0.0000
6 Sb 0.5442 0.5000 0.3691
7 Sb 0.7033 0.0000 0.0370
8 Sb 0.8901 0.5000 0.7179
9 Te 0.1702 0.5000 0.6650
10 Te 0.3338 0.0000 0.3358
11 Te 0.6702 0.0000 0.6650
12 Te 0.8338 0.5000 0.3358

Output
- total magnetic moment (μB per cell) = 0.0
- polymorph energy (0 for the lowest one) (eV/atom) = 0.140

=====

[3]
# MgInPb2

A PBEsol-optimized structure of MgInPb2 (meta-GGA SCAN, the Alexandria database).

Lattice parameters (Å, degrees): 3.5588 5.5504 10.8143 90.00 90.00 90.00
Fractional coordinates of all 8 atoms:
1 Mg 0.0000 0.0000 0.0000
2 Mg 0.5000 0.5000 0.5000
3 In 0.0000 0.5000 0.2680
4 In 0.5000 0.0000 0.7680
5 Pb 0.0000 0.0000 0.5146
6 Pb 0.0000 0.5000 0.7438
7 Pb 0.5000 0.0000 0.2438
8 Pb 0.5000 0.5000 0.0146

Output
- formation energy from the elements (eV per formula unit) = -0.06
- total magnetic moment (μB per cell) = 0.0

=====

[4]
# MnTlHg

A PBEsol-optimized structure of MnTlHg (meta-GGA SCAN, the Alexandria database).

Lattice parameters (Å, degrees): 3.1706 3.1706 12.0990 90.00 90.00 90.00
Fractional coordinates of all 6 atoms:
1 Mn 0.0000 0.0000 0.0000
2 Mn 0.5000 0.5000 0.5000
3 Tl 0.0000 0.0000 0.6599
4 Tl 0.5000 0.5000 0.1599
5 Hg 0.0000 0.0000 0.3593
6 Hg 0.5000 0.5000 0.8593

Output
- formation energy from the elements (eV per formula unit) = 0.33
- total magnetic moment (μB per cell) = 8.4
- polymorph energy (0 for the lowest one) (eV/atom) = 0.000

=====

[5]
# Mn2InCo

A PBEsol-optimized structure of Mn2InCo (meta-GGA SCAN, the Alexandria database).

Lattice parameters (Å, degrees): 4.0767 4.0767 6.6450 90.00 90.00 90.00
Fractional coordinates of all 8 atoms:
1 Mn 0.0000 0.0000 0.0000
2 Mn 0.0000 0.5000 0.2500
3 Mn 0.5000 0.0000 0.7500
4 Mn 0.5000 0.5000 0.5000
5 In 0.0000 0.5000 0.7500
6 In 0.5000 0.0000 0.2500
7 Co 0.0000 0.0000 0.5000
8 Co 0.5000 0.5000 0.0000

Output
- formation energy from the elements (eV per formula unit) = -0.57
- total magnetic moment (μB per cell) = 3.4

=====

[6]
# NaSrCoRe2

A PBEsol-optimized structure of NaSrCoRe2 (meta-GGA SCAN, the Alexandria database).

Lattice parameters (Å, degrees): 4.8057 4.8057 4.5140 90.00 90.00 90.00
Fractional coordinates of all 5 atoms:
1 Na 0.0000 0.0000 0.0000
2 Sr 0.5000 0.5000 0.5000
3 Co 0.0000 0.0000 0.5000
4 Re 0.0000 0.5000 0.0000
5 Re 0.5000 0.0000 0.0000

Output
- formation energy from the elements (eV per formula unit) = 12.04
- total magnetic moment (μB per cell) = 7.3

=====

[7]
# MgHg3Sb

A PBEsol-optimized structure of MgHg3Sb (meta-GGA SCAN, the Alexandria database).

Lattice parameters (Å, degrees): 5.5583 5.5583 5.5583 90.00 90.00 90.00
Fractional coordinates of all 5 atoms:
1 Mg 0.0000 0.0000 0.0000
2 Hg 0.0000 0.5000 0.5000
3 Hg 0.5000 0.0000 0.5000
4 Hg 0.5000 0.5000 0.0000
5 Sb 0.5000 0.5000 0.5000

Output
- energy (eV for the cell shown) = -245.21
- total magnetic moment (μB per cell) = 0.0

=====

[8]
# SmCO4

A PBEsol-optimized structure of SmCO4 (meta-GGA SCAN, the Alexandria database).

Lattice parameters (Å, degrees): 7.2324 4.8673 7.9292 90.00 90.00 90.00
Fractional coordinates of all 24 atoms:
1 Sm 0.1454 0.2500 0.1712
2 Sm 0.3546 0.7500 0.6712
3 Sm 0.6454 0.2500 0.3288
4 Sm 0.8546 0.7500 0.8288
5 C 0.1942 0.2500 0.8108
6 C 0.3058 0.7500 0.3108
7 C 0.6942 0.2500 0.6892
8 C 0.8058 0.7500 0.1892
9 O 0.0396 0.7500 0.5896
10 O 0.1453 0.0200 0.8794
11 O 0.1453 0.4800 0.8794
12 O 0.1992 0.7500 0.1829
13 O 0.3008 0.2500 0.6829
14 O 0.3547 0.5200 0.3794
15 O 0.3547 0.9800 0.3794
16 O 0.4604 0.2500 0.0896
17 O 0.5396 0.7500 0.9104
18 O 0.6453 0.0200 0.6206
19 O 0.6453 0.4800 0.6206
20 O 0.6992 0.7500 0.3171
21 O 0.8008 0.2500 0.8171
22 O 0.8547 0.5200 0.1206
23 O 0.8547 0.9800 0.1206
24 O 0.9604 0.2500 0.4104

Output
- energy (eV for the cell shown) = -371.41
- total magnetic moment (μB per cell) = 4.0

=====

[9]
# TbAlGa

A PBEsol-optimized structure of TbAlGa (meta-GGA SCAN, the Alexandria database).

Lattice parameters (Å, degrees): 4.4139 4.4139 3.5322 90.00 90.00 120.00
Fractional coordinates of all 3 atoms:
1 Tb 0.0000 0.0000 0.0000
2 Al 0.6667 0.3333 0.5000
3 Ga 0.3333 0.6667 0.5000

Output
- formation energy from the elements (eV per formula unit) = -1.98
- total magnetic moment (μB per cell) = 0.0

=====

[10]
# SrMg2P

A PBEsol-optimized structure of SrMg2P (meta-GGA SCAN, the Alexandria database).

Lattice parameters (Å, degrees): 4.2049 4.2049 21.3698 90.00 90.00 120.00
Fractional coordinates of all 12 atoms:
1 Sr 0.0000 0.0000 0.0000
2 Sr 0.3333 0.6667 0.6667
3 Sr 0.6667 0.3333 0.3333
4 Mg 0.0000 0.0000 0.2127
5 Mg 0.0000 0.0000 0.4580
6 Mg 0.3333 0.6667 0.1247
7 Mg 0.3333 0.6667 0.8794
8 Mg 0.6667 0.3333 0.5461
9 Mg 0.6667 0.3333 0.7914
10 P 0.0000 0.0000 0.7530
11 P 0.3333 0.6667 0.4197
12 P 0.6667 0.3333 0.0863

Output
- formation energy from the elements (eV per formula unit) = -1.73
- total magnetic moment (μB per cell) = 0.0

=====

[11]
# LaZrTeRh2

A PBEsol-optimized structure of LaZrTeRh2 (meta-GGA SCAN, the Alexandria database).

Lattice parameters (Å, degrees): 4.7791 4.7791 5.4458 90.00 90.00 90.00
Fractional coordinates of all 5 atoms:
1 La 0.0000 0.0000 0.0000
2 Zr 0.5000 0.5000 0.5000
3 Te 0.5000 0.5000 0.0000
4 Rh 0.0000 0.5000 0.5000
5 Rh 0.5000 0.0000 0.5000

Output
- energy (eV for the cell shown) = -180.10
- total magnetic moment (μB per cell) = 0.0

=====

[12]
# SrZn2Pt

A PBEsol-optimized structure of SrZn2Pt (meta-GGA SCAN, the Alexandria database).

Lattice parameters (Å, degrees): 4.3379 4.3379 15.7335 90.00 90.00 120.00
Fractional coordinates of all 12 atoms:
1 Sr 0.0000 0.0000 0.0000
2 Sr 0.3333 0.6667 0.6667
3 Sr 0.6667 0.3333 0.3333
4 Zn 0.0000 0.0000 0.1983
5 Zn 0.0000 0.0000 0.8017
6 Zn 0.3333 0.6667 0.4684
7 Zn 0.3333 0.6667 0.8649
8 Zn 0.6667 0.3333 0.1351
9 Zn 0.6667 0.3333 0.5316
10 Pt 0.0000 0.0000 0.5000
11 Pt 0.3333 0.6667 0.1667
12 Pt 0.6667 0.3333 0.8333

Output
- formation energy from the elements (eV per formula unit) = -2.64
- total magnetic moment (μB per cell) = 0.0

=====

[13]
# BeMo2Cl

A PBEsol-optimized structure of BeMo2Cl (meta-GGA SCAN, the Alexandria database).

Lattice parameters (Å, degrees): 8.5459 2.9165 4.4237 90.00 105.06 90.00
Fractional coordinates of all 8 atoms:
1 Be 0.0000 0.0000 0.0000
2 Be 0.5000 0.5000 0.0000
3 Mo 0.2355 0.5000 0.1250
4 Mo 0.4990 0.0000 0.4651
5 Mo 0.7355 0.0000 0.1250
6 Mo 0.9990 0.5000 0.4651
7 Cl 0.2499 0.0000 0.7018
8 Cl 0.7499 0.5000 0.7018

Output
- total magnetic moment (μB per cell) = 0.0
- polymorph energy (0 for the lowest one) (eV/atom) = 0.356

=====

[14]
# HfAlBTe2

A PBEsol-optimized structure of HfAlBTe2 (meta-GGA SCAN, the Alexandria database).

Lattice parameters (Å, degrees): 5.3249 5.3249 3.8940 90.00 90.00 90.00
Fractional coordinates of all 5 atoms:
1 Hf 0.0000 0.0000 0.0000
2 Al 0.5000 0.5000 0.5000
3 B 0.5000 0.5000 0.0000
4 Te 0.0000 0.5000 0.5000
5 Te 0.5000 0.0000 0.5000

Output
- energy (eV for the cell shown) = -148.92
- total magnetic moment (μB per cell) = 0.0

=====

[15]
# Al2SbOs

A PBEsol-optimized structure of Al2SbOs (meta-GGA SCAN, the Alexandria database).

Lattice parameters (Å, degrees): 3.0638 3.0638 25.8662 90.00 90.00 120.00
Fractional coordinates of all 12 atoms:
1 Al 0.0000 0.0000 0.2364
2 Al 0.0000 0.0000 0.7636
3 Al 0.3333 0.6667 0.4302
4 Al 0.3333 0.6667 0.9031
5 Al 0.6667 0.3333 0.0969
6 Al 0.6667 0.3333 0.5698
7 Sb 0.0000 0.0000 0.0000
8 Sb 0.3333 0.6667 0.6667
9 Sb 0.6667 0.3333 0.3333
10 Os 0.0000 0.0000 0.5000
11 Os 0.3333 0.6667 0.1667
12 Os 0.6667 0.3333 0.8333

Output
- energy (eV for the cell shown) = -374.01
- total magnetic moment (μB per cell) = 0.0

=====

[16]
# Y2BiIr

A PBEsol-optimized structure of Y2BiIr (meta-GGA SCAN, the Alexandria database).

Lattice parameters (Å, degrees): 7.9249 7.9249 6.5428 90.00 90.00 90.00
Fractional coordinates of all 16 atoms:
1 Y 0.1984 0.2500 0.1250
2 Y 0.2500 0.6984 0.3750
3 Y 0.2500 0.8016 0.8750
4 Y 0.3016 0.2500 0.6250
5 Y 0.6984 0.7500 0.6250
6 Y 0.7500 0.1984 0.8750
7 Y 0.7500 0.3016 0.3750
8 Y 0.8016 0.7500 0.1250
9 Bi 0.0000 0.0000 0.5000
10 Bi 0.0000 0.5000 0.7500
11 Bi 0.5000 0.0000 0.2500
12 Bi 0.5000 0.5000 0.0000
13 Ir 0.0000 0.0000 0.0000
14 Ir 0.0000 0.5000 0.2500
15 Ir 0.5000 0.0000 0.7500
16 Ir 0.5000 0.5000 0.5000

Output
- formation energy from the elements (eV per formula unit) = -2.02
- total magnetic moment (μB per cell) = 0.0

=====

[17]
# BaFeSb2

A PBEsol-optimized structure of BaFeSb2 (meta-GGA SCAN, the Alexandria database).

Lattice parameters (Å, degrees): 4.2605 6.5537 8.2226 90.00 90.00 90.00
Fractional coordinates of all 8 atoms:
1 Ba 0.0000 0.0000 0.0000
2 Ba 0.5000 0.5000 0.5000
3 Fe 0.0000 0.0000 0.5000
4 Fe 0.5000 0.5000 0.0000
5 Sb 0.0000 0.5000 0.1782
6 Sb 0.0000 0.5000 0.8218
7 Sb 0.5000 0.0000 0.3218
8 Sb 0.5000 0.0000 0.6782

Output
- energy (eV for the cell shown) = -266.30
- total magnetic moment (μB per cell) = 5.5

=====

[18]
# CdOsBr2

A PBEsol-optimized structure of CdOsBr2 (meta-GGA SCAN, the Alexandria database).

Lattice parameters (Å, degrees): 3.0217 4.6154 12.4233 90.00 90.00 90.00
Fractional coordinates of all 8 atoms:
1 Cd 0.0000 0.0000 0.0000
2 Cd 0.5000 0.5000 0.5000
3 Os 0.0000 0.5000 0.6877
4 Os 0.5000 0.0000 0.1877
5 Br 0.0000 0.0000 0.3551
6 Br 0.0000 0.5000 0.1728
7 Br 0.5000 0.0000 0.6728
8 Br 0.5000 0.5000 0.8551

Output
- total magnetic moment (μB per cell) = 0.0
- polymorph energy (0 for the lowest one) (eV/atom) = 0.270

=====

[19]
# HfSi3Br

A PBEsol-optimized structure of HfSi3Br (meta-GGA SCAN, the Alexandria database).

Lattice parameters (Å, degrees): 5.1058 5.1058 5.1058 90.00 90.00 90.00
Fractional coordinates of all 5 atoms:
1 Hf 0.0000 0.0000 0.0000
2 Si 0.0000 0.0000 0.5000
3 Si 0.0000 0.5000 0.0000
4 Si 0.5000 0.0000 0.0000
5 Br 0.5000 0.5000 0.5000

Output
- energy (eV for the cell shown) = -107.58
- total magnetic moment (μB per cell) = 0.0

=====

[20]
# Sr2YIn

A PBEsol-optimized structure of Sr2YIn (meta-GGA SCAN, the Alexandria database).

Lattice parameters (Å, degrees): 8.0874 8.0874 8.0874 90.00 90.00 90.00
Fractional coordinates of all 16 atoms:
1 Sr 0.0000 0.0000 0.0000
2 Sr 0.0000 0.5000 0.5000
3 Sr 0.2500 0.2500 0.2500
4 Sr 0.2500 0.7500 0.7500
5 Sr 0.5000 0.0000 0.5000
6 Sr 0.5000 0.5000 0.0000
7 Sr 0.7500 0.2500 0.7500
8 Sr 0.7500 0.7500 0.2500
9 Y 0.2500 0.2500 0.7500
10 Y 0.2500 0.7500 0.2500
11 Y 0.7500 0.2500 0.2500
12 Y 0.7500 0.7500 0.7500
13 In 0.0000 0.0000 0.5000
14 In 0.0000 0.5000 0.0000
15 In 0.5000 0.0000 0.0000
16 In 0.5000 0.5000 0.5000

Output
- formation energy from the elements (eV per formula unit) = -0.34
- total magnetic moment (μB per cell) = 0.0